DFT (PBE) results for a geometry-optimized CsTa2CdMo structure.

```
CsTa2CdMo
1.0
-0.267 -4.594 1.810
3.899 1.380 4.080
-3.657 1.402 3.020
Ta Mo Cs Cd
2 1 1 1
Cartesian
-0.134 -2.297 0.905
-1.828 0.701 1.510
0.000 0.000 0.000
-0.013 -0.906 4.455
1.949 0.690 2.040
```

Computed properties:
magnetic moment	0.494	Bohr magnetons per cell
E	-5.945	eV/atom
SG	No. 123